A geometry-optimized KCu3Ir structure. Source: Alexandria, functional GGA-PBE.

* E_form: 666 meV/atom
* E above lowest polymorph: 0.000 eV per atom
* D(E_F): 5.09 states/eV/f.u.
* crystal system: cubic

Geometry as POSCAR:
```
KCu3Ir
1.0
4.805 0.000 0.000
0.000 4.805 0.000
0.000 0.000 4.805
K Cu Ir
1 3 1
direct
0.000 0.000 0.000 K
0.000 0.500 0.500 Cu
0.500 0.000 0.500 Cu
0.500 0.500 0.000 Cu
0.500 0.500 0.500 Ir
```